# Pa2NiS4Br

A geometry-optimized Pa2NiS4Br structure (PBE-GGA, Alexandria).

Cell lengths 3.893, 5.765, 8.776 Å; angles 75.59, 77.18, 70.27 degrees
Site moments in Bohr magnetons follow the coordinates.
Element x y z (fractional)
Pa: 0.805 0.609 0.781  0.66
Pa: 0.195 0.391 0.219  0.66
S: 0.157 0.955 0.731  -0.03
S: 0.843 0.045 0.269  -0.03
S: 0.386 0.302 0.926  -0.04
S: 0.614 0.698 0.074  -0.04
Ni: 0.000 0.000 0.000  -0.31
Br: 0.500 0.500 0.500  -0.01

Output
ΔE_f (raw), eV per atom: -1.19
Symmetry: No. 12

---

# BaLiInSb2

A geometry-optimized BaLiInSb2 structure (PBE-GGA, Alexandria).

Cell lengths 4.778, 7.346, 10.252 Å; angles 98.42, 90.00, 108.98 degrees
Element x y z (fractional)
Sb: 0.366 0.732 0.657
Sb: 0.634 0.268 0.343
Sb: 0.865 0.729 0.069
Sb: 0.135 0.271 0.931
Ba: 0.346 0.692 0.309
Ba: 0.654 0.308 0.691
Li: 0.336 0.673 0.929
Li: 0.664 0.327 0.071
In: 0.936 0.872 0.810
In: 0.064 0.128 0.190

Output
ΔE_f (raw), eV per atom: -0.61
Symmetry: No. 12

---

# Na2GaSiTe4

A geometry-optimized Na2GaSiTe4 structure (PBE-GGA, Alexandria).

Cell lengths 7.148, 8.612, 9.404 Å; angles 90.00, 90.00, 90.00 degrees
Element x y z (fractional)
Na: 0.978 0.666 0.245
Na: 0.478 0.334 0.255
Na: 0.978 0.666 0.755
Na: 0.478 0.334 0.745
Te: 0.367 0.115 0.500
Te: 0.418 0.700 0.262
Te: 0.918 0.300 0.762
Te: 0.418 0.700 0.738
Te: 0.356 0.135 0.000
Te: 0.867 0.885 0.000
Te: 0.856 0.865 0.500
Te: 0.918 0.300 0.238
Si: 0.499 0.840 0.500
Si: 0.999 0.160 0.000
Ga: 0.487 0.843 0.000
Ga: 0.987 0.157 0.500

Output
ΔE_f (raw), eV per atom: -0.40
Symmetry: No. 31

---

# La6PmHo2Sc

A geometry-optimized La6PmHo2Sc structure (PBE-GGA, Alexandria).

Cell lengths 8.868, 7.029, 6.785 Å; angles 121.20, 102.32, 90.00 degrees
Element x y z (fractional)
La: 0.403 0.637 0.274
La: 0.597 0.363 0.726
La: 0.801 0.403 0.319
La: 0.801 0.916 0.319
La: 0.199 0.084 0.681
La: 0.199 0.597 0.681
Ho: 0.837 0.903 0.807
Ho: 0.163 0.097 0.193
Pm: 0.500 0.000 0.000
Sc: 0.000 0.500 0.000

Output
Formation energy from the elements, kJ per mole of atoms: 20.6
Symmetry: No. 12

---

# KLa2Ta

A geometry-optimized KLa2Ta structure (PBE-GGA, Alexandria).

Cell lengths 3.236, 3.236, 12.585 Å; angles 90.00, 90.00, 90.00 degrees
Element x y z (fractional)
La: 0.000 0.000 0.025
La: 0.500 0.500 0.286
Ta: 0.000 0.000 0.469
K: 0.500 0.500 0.720

Output
Formation energy from the elements, kJ per mole of atoms: 69.9
Symmetry: No. 99
ΔE to the lowest computed polymorph, kJ/mol of atoms: 29.3

---

# Li2YMn

A geometry-optimized Li2YMn structure (PBE-GGA, Alexandria).

Cell lengths 9.946, 9.946, 9.946 Å; angles 18.78, 18.78, 18.78 degrees
Site moments in Bohr magnetons follow the coordinates.
Element x y z (fractional)
Y: 0.757 0.757 0.757  -0.16
Li: 0.994 0.994 0.994  0.01
Li: 0.245 0.245 0.245  -0.01
Mn: 0.504 0.504 0.504  3.69

Output
Formation energy from the elements, kJ per mole of atoms: 31.1
Symmetry: No. 160
ΔE to the lowest computed polymorph, kJ/mol of atoms: 11.4

---

# CePmGeRh2

A geometry-optimized CePmGeRh2 structure (PBE-GGA, Alexandria).

Cell lengths 4.310, 3.891, 6.943 Å; angles 106.27, 108.08, 90.00 degrees
Element x y z (fractional)
Ce: 0.180 0.680 0.360
Ge: 0.845 0.845 0.690
Rh: 0.043 0.043 0.086
Rh: 0.707 0.207 0.413
Pm: 0.437 0.437 0.875

Output
Formation energy from the elements, kJ per mole of atoms: -77.8
Symmetry: No. 44

---

# Dy12YSc2

A geometry-optimized Dy12YSc2 structure (PBE-GGA, Alexandria).

Cell lengths 5.983, 5.983, 30.214 Å; angles 75.83, 75.83, 107.14 degrees
Element x y z (fractional)
Dy: 0.670 0.170 0.618
Dy: 0.938 0.938 0.320
Dy: 0.345 0.345 0.804
Dy: 0.845 0.845 0.804
Dy: 0.269 0.769 0.131
Dy: 0.783 0.783 0.553
Dy: 0.062 0.062 0.680
Dy: 0.830 0.330 0.382
Dy: 0.717 0.717 0.447
Dy: 0.155 0.155 0.196
Dy: 0.438 0.438 0.320
Dy: 0.769 0.269 0.131
Dy: 0.562 0.562 0.680
Dy: 0.231 0.731 0.869
Dy: 0.655 0.655 0.196
Dy: 0.330 0.830 0.382
Dy: 0.170 0.670 0.618
Dy: 0.283 0.283 0.553
Dy: 0.617 0.617 0.934
Dy: 0.117 0.117 0.934
Dy: 0.883 0.883 0.066
Dy: 0.731 0.231 0.869
Dy: 0.217 0.217 0.447
Dy: 0.383 0.383 0.066
Y: 0.500 0.000 0.000
Y: 0.000 0.500 0.000
Sc: 0.954 0.454 0.742
Sc: 0.047 0.547 0.258
Sc: 0.453 0.953 0.742
Sc: 0.546 0.046 0.258

Output
Formation energy from the elements, kJ per mole of atoms: 11.2
Symmetry: No. 10

---

Total magnetic moment, respectively: 1.007; 0.000; 0.000; 0.001; 0.000; 3.681; 0.000; 0.000 μB/f.u..